No. 1
# PPdF3

Crystalline PPdF3 at its relaxed geometry (PBE, Alexandria via LeMat-Bulk).

extended XYZ file:
```
5
Lattice="-3.145 1.379 -2.505 -0.825 -4.003 -1.167 -2.738 -0.377 3.229" Properties=species:S:1:pos:R:3 pbc="T T T"
Pd 0.000 0.000 0.000
F -1.369 -0.189 1.615
F -0.413 -2.002 -0.584
P -3.354 -1.501 -0.222
F -1.572 0.689 -1.253
```

Properties
Raw formation energy   -0.35 eV per atom
SG   Pm-3m (221)
Final energy   -18.0 eV per cell



No. 2
# PPd2F

Crystalline PPd2F at its relaxed geometry (PBE, Alexandria via LeMat-Bulk).

extended XYZ file:
```
8
Lattice="-4.336 3.375 -2.600 0.236 -3.513 -4.954 -4.446 -2.117 -2.439" Properties=species:S:1:pos:R:3 pbc="T T T"
P 0.000 0.000 0.000
Pd -4.877 -1.573 -4.568
F -3.130 -2.850 -5.585
Pd -6.918 -1.776 -8.533
F -2.050 -0.069 -3.777
Pd -3.874 1.205 -2.903
Pd -1.424 -2.367 -3.982
P -5.416 0.594 -4.408
```

Properties
Raw formation energy   -0.58 eV per atom
SG   I-42d (122)
Final energy   -40.0 eV per cell